Density functional theory data (PBE) for a relaxed structure of BaMgCdPt2.

The value obtained for the final energy is -3.9655 eV/atom. Its spin magnetization is 0.01 μB per cell.

The structure belongs to space group I-4m2 (No. 119); the cell edges are 4.439, 4.439 and 12.108 Å and the angles 90.00°, 90.00° and 90.00°. The asymmetric unit holds Ba at (0.000, 0.000, 0.000), Mg at (0.000, 0.500, 0.750), Cd at (0.000, 0.500, 0.250) and Pt at (0.000, 0.000, 0.389).


Density functional theory data (PBE) for a relaxed structure of BaMg2CdPt.

The value obtained for the final energy is -2.8819 eV/atom. Its spin magnetization is 0.00 μB per cell.

The structure belongs to space group I4mm (No. 107); the cell edges are 4.541, 4.541 and 12.760 Å and the angles 90.00°, 90.00° and 90.00°. The asymmetric unit holds Ba at (0.000, 0.000, 0.000), Mg at (0.000, 0.500, 0.273), Cd at (0.000, 0.000, 0.616) and Pt at (0.000, 0.000, 0.389).


Density functional theory data (PBE) for a relaxed structure of BaMgCdSb2.

The value obtained for the final energy is -3.1916 eV/atom.

The structure belongs to space group P3m1 (No. 156); the cell edges are 4.8257, 4.8257 and 8.1780 Å and the angles 90.00°, 90.00° and 120.00°. The asymmetric unit holds Ba at (0.0000, 0.0000, 0.0000), Mg at (0.3333, 0.6667, 0.6243), Cd at (0.6667, 0.3333, 0.3705), Sb at (0.3333, 0.6667, 0.2638) and Sb at (0.6667, 0.3333, 0.7336).


Density functional theory data (PBE) for a relaxed structure of Ba2MgCdSb4.

The value obtained for the final energy is -3.5356 eV/atom.

The structure belongs to space group I-4m2 (No. 119); the cell edges are 4.585, 4.585 and 24.930 Å and the angles 90.00°, 90.00° and 90.00°. The asymmetric unit holds Ba at (0.000, 0.000, 0.112), Mg at (0.000, 0.500, 0.250), Cd at (0.000, 0.500, 0.750), Sb at (0.000, 0.000, 0.323) and Sb at (0.000, 0.500, 0.000).


Density functional theory data (PBE) for a relaxed structure of BaMgCdSn2.

The value obtained for the final energy is -2.9360 eV/atom.

The structure belongs to space group P4/nmm (No. 129, origin choice 2); the cell edges are 4.911, 4.911 and 12.297 Å and the angles 90.00°, 90.00° and 90.00°. The asymmetric unit holds Ba at (0.250, 0.250, 0.248), Mg at (0.250, 0.750, 0.500), Cd at (0.250, 0.250, 0.863), Sn at (0.250, 0.250, 0.633) and Sn at (0.250, 0.750, 0.000).


Density functional theory data (PBE) for a relaxed structure of BaMg2ZnCd.

The value obtained for the final energy is -1.6234 eV/atom.

The structure belongs to space group I4mm (No. 107); the cell edges are 4.665, 4.665 and 12.822 Å and the angles 90.00°, 90.00° and 90.00°. The asymmetric unit holds Ba at (0.000, 0.000, 0.000), Mg at (0.000, 0.500, 0.260), Zn at (0.000, 0.000, 0.390) and Cd at (0.000, 0.000, 0.613).


Density functional theory data (PBE) for a relaxed structure of Ba2CdMoS6.

The value obtained for the final energy is -4.9843 eV/atom. Its spin magnetization is 0.01 μB per cell.

The structure belongs to space group Fm-3m (No. 225); the cell edges are 9.969, 9.969 and 9.969 Å and the angles 90.00°, 90.00° and 90.00°. The asymmetric unit holds Ba at (0.250, 0.250, 0.250), Cd at (0.000, 0.000, 0.000), Mo at (0.000, 0.000, 0.500) and S at (0.000, 0.000, 0.261).


Density functional theory data (PBE) for a relaxed structure of Ba2Cd2N3.

The value obtained for the final energy is -4.4474 eV/atom.

The structure belongs to space group C2/m (No. 12); the cell edges are 16.551, 3.761 and 12.109 Å and the angles 90.00°, 132.07° and 90.00°. The asymmetric unit holds Ba at (0.121, 0.000, 0.455), Ba at (0.186, 0.000, 0.819), Cd at (0.041, 0.500, 0.892), Cd at (0.147, 0.000, 0.199), N at (0.040, 0.500, 0.570), N at (0.145, 0.500, 0.308) and N at (0.151, 0.000, 0.013).


Density functional theory data (PBE) for a relaxed structure of Ba2NaCd.

The value obtained for the final energy is -1.7053 eV/atom.

The structure belongs to space group P4/mmm (No. 123); the cell edges are 4.300, 4.300 and 9.454 Å and the angles 90.00°, 90.00° and 90.00°. The asymmetric unit holds Ba at (0.000, 0.000, 0.212), Na at (0.500, 0.500, 0.500) and Cd at (0.500, 0.500, 0.000).


Density functional theory data (PBE) for a relaxed structure of BaNaCd.

The value obtained for the final energy is -1.2066 eV/atom.

The structure belongs to space group F-43m (No. 216); the cell edges are 8.074, 8.074 and 8.074 Å and the angles 90.00°, 90.00° and 90.00°. The asymmetric unit holds Ba at (0.000, 0.000, 0.000), Na at (0.250, 0.250, 0.250) and Cd at (0.250, 0.250, 0.750).


Density functional theory data (PBE) for a relaxed structure of BaNbCd.

The value obtained for the final energy is -2.8726 eV/atom. Its spin magnetization is 19.62 μB per cell.

The structure belongs to space group F-43m (No. 216); the cell edges are 7.804, 7.804 and 7.804 Å and the angles 90.00°, 90.00° and 90.00°. The asymmetric unit holds Ba at (0.000, 0.000, 0.000), Nb at (0.250, 0.250, 0.250) and Cd at (0.250, 0.250, 0.750).


Density functional theory data (PBE) for a relaxed structure of Ba2NbCdS6.

The value obtained for the final energy is -5.0775 eV/atom. Its spin magnetization is 0.01 μB per cell.

The structure belongs to space group Fm-3m (No. 225); the cell edges are 10.054, 10.054 and 10.054 Å and the angles 90.00°, 90.00° and 90.00°. The asymmetric unit holds Ba at (0.250, 0.250, 0.250), Nb at (0.000, 0.000, 0.000), Cd at (0.000, 0.000, 0.500) and S at (0.000, 0.000, 0.242).


Q: Among the records above, which one has the highest final energy?
A: BaNaCd


Q: Look up the final energy of the fourth one.
A: -3.5356 eV/atom


Q: Look up the final energy of the sixth one.
A: -1.6234 eV/atom